This record from Alexandria describes an optimized crystal structure of SrTePb2. The functional is GGA-PBE. Values from VASP.

Properties
- D(E_F) (states/eV per cell) = 5.0
- total magnetic moment (μB per cell) = 0.000
- space group = I-42d (122)
- ΔE_f (raw) (eV/atom) = -0.34

```
&SYSTEM
  ibrav = 0, nat = 8, ntyp = 3
/
ATOMIC_SPECIES
Pb 207.20 Pb.upf
Sr 87.62 Sr.upf
Te 127.60 Te.upf
ATOMIC_POSITIONS crystal
Pb 0.660 0.125 0.250
Pb 0.090 0.625 0.250
Pb 0.375 0.340 0.750
Pb 0.875 0.910 0.750
Sr 0.500 0.500 0.000
Sr 0.250 0.750 0.500
Te 0.000 0.000 0.000
Te 0.750 0.250 0.500
CELL_PARAMETERS angstrom
9.557 0.000 0.000
0.000 9.557 0.000
4.779 4.779 3.218
```